Record 1
# LaZnPd (PBE-GGA, optimized geometry)
data_LaZnPd
_chemical_formula_sum 'La2 Zn2 Pd2'
_space_group_name_H-M_alt 'I 4 m m'
_space_group_IT_number 107
_space_group_name_Hall 'I 4 -2'
_cell_length_a 3.540
_cell_length_b 3.540
_cell_length_c 10.330
_cell_angle_alpha 90.00
_cell_angle_beta 90.00
_cell_angle_gamma 90.00
loop_
_atom_site_label
_atom_site_fract_x
_atom_site_fract_y
_atom_site_fract_z
La1 0.000 0.000 0.000
Zn1 0.000 0.000 0.300
Pd1 0.000 0.000 0.698
# Total DFT energy (no corrections) in eV per formula unit: -12.98
# ρ in Mg/m³: 7.97
# Size of the total moment in μB/f.u.: 0.01

Record 2
# LaZn2Pd (PBE-GGA, optimized geometry)
data_LaZn2Pd
_chemical_formula_sum 'La3 Zn6 Pd3'
_space_group_name_H-M_alt 'R -3 m'
_space_group_IT_number 166
_space_group_name_Hall '-R 3 2"'
_cell_length_a 4.3814
_cell_length_b 4.3814
_cell_length_c 15.4121
_cell_angle_alpha 90.00
_cell_angle_beta 90.00
_cell_angle_gamma 120.00
loop_
_atom_site_label
_atom_site_fract_x
_atom_site_fract_y
_atom_site_fract_z
La1 0.0000 0.0000 0.0000
Zn1 0.0000 0.0000 0.2081
Pd1 0.0000 0.0000 0.5000
# Total DFT energy (no corrections) in eV per formula unit: -14.61
# ρ in Mg/m³: 7.31
# Size of the total moment in μB/f.u.: 0.00

Record 3
# LaZn3Pd (PBE-GGA, optimized geometry)
data_LaZn3Pd
_chemical_formula_sum 'La1 Zn3 Pd1'
_space_group_name_H-M_alt 'P m -3 m'
_space_group_IT_number 221
_space_group_name_Hall '-P 4 2 3'
_cell_length_a 4.802
_cell_length_b 4.802
_cell_length_c 4.802
_cell_angle_alpha 90.00
_cell_angle_beta 90.00
_cell_angle_gamma 90.00
loop_
_atom_site_label
_atom_site_fract_x
_atom_site_fract_y
_atom_site_fract_z
La1 0.000 0.000 0.000
Zn1 0.000 0.500 0.500
Pd1 0.500 0.500 0.500
# Total DFT energy (no corrections) in eV per formula unit: -15.49
# ρ in Mg/m³: 6.62
# Size of the total moment in μB/f.u.: 0.00